(1)
Tb2Nd2YSc (PBE, optimized geometry); space-group type = P2_1/m (11); ΔH_f (0 K) = 119 meV per atom; magnetic moment = 0.00 μB per formula unit; uncorrected energy = -61.8 eV/cell
1.0
-4.8024 -4.3184 -2.5442
6.6896 -4.1740 -5.5425
-0.8984 -2.4947 5.9304
Nd Y Sc Tb
4 2 2 4
Cartesian
-0.8824 -3.7114 3.2303
-0.4013 -5.8644 -3.4929
1.8711 -7.2758 -5.3866
1.3900 -5.1227 1.3366
-3.2563 -5.7410 1.6870
4.2451 -5.2461 -3.8433
-0.9031 -7.0230 -0.5789
1.8919 -3.9641 -1.5774
-3.7812 -5.8330 -1.8948
-1.3831 -3.6766 -0.6244
4.7700 -5.1541 -0.2615
2.3719 -7.3106 -1.5319


(2)
TbNd2YSc (PBE, optimized geometry); space-group type = Pmma (51); ΔH_f (0 K) = 201 meV per atom; magnetic moment = 0.00 μB per formula unit; uncorrected energy = -51.9 eV/cell
1.0
6.5544 0.0000 0.0000
0.0000 7.7355 1.4064
0.0000 -1.1191 6.1538
Y Nd Sc Tb
2 4 2 2
Cartesian
2.0351 3.0284 5.3186
4.5193 3.5880 2.2417
5.1446 1.4530 5.0316
1.4098 5.1634 2.5286
5.1446 4.6038 5.6055
1.4098 2.0125 1.9547
0.0000 0.0000 0.0000
0.0000 -0.5596 3.0769
2.6889 -0.8393 4.6154
3.8654 -0.2798 1.5385


(3)
TbNdYSc (PBE, optimized geometry); space-group type = F-43m (216); ΔH_f (0 K) = 125 meV per atom; ΔE to the lowest computed polymorph = 0.015 eV/atom; magnetic moment = 0.00 μB per formula unit; uncorrected energy = -21.7 eV/cell
1.0
5.6006 0.0000 0.0000
2.8003 4.8503 0.0000
2.8003 1.6168 4.5729
Tb Y Sc Nd
1 1 1 1
Cartesian
5.6006 3.2335 2.2864
8.4009 4.8503 3.4297
0.0000 0.0000 0.0000
2.8003 1.6168 1.1432


(4)
Tb3Nd6Y2Sc (PBE, optimized geometry); space-group type = C2/m (12); ΔH_f (0 K) = 22 meV per atom; magnetic moment = 0.00 μB per formula unit; uncorrected energy = -61.5 eV/cell
1.0
6.2537 -0.0008 0.0039
-3.1260 5.4163 0.0039
-1.0471 -1.8130 11.6167
Nd Y Tb Sc
6 2 3 1
Cartesian
-0.0128 -0.0222 8.7403
-1.0329 1.7810 2.8766
2.0934 3.6247 2.8841
2.0589 -0.0046 2.8766
0.0217 3.6071 8.7479
3.1135 1.8215 8.7479
0.0007 3.6106 0.0039
3.1270 1.8050 0.0039
4.1671 -0.0046 5.8122
1.0403 1.8013 5.8122
-2.0865 3.6071 5.8122
0.0000 0.0000 0.0000


(5)
Tb5NdYSc2 (PBE, optimized geometry); space-group type = Cmc2_1 (36); ΔH_f (0 K) = 168 meV per atom; magnetic moment = 0.00 μB per formula unit; uncorrected energy = -91.1 eV/cell
1.0
-0.2685 -3.4379 4.4274
2.1418 -6.6881 -8.6201
9.2080 1.1141 1.4235
Sc Nd Tb Y
4 2 10 2
Cartesian
3.4571 -1.5486 -0.9928
6.9711 -1.6102 -0.8275
3.1015 -7.5238 -2.0976
9.0215 -7.2943 -1.5603
8.6971 -2.3440 2.2640
5.4489 -6.2973 -4.5594
0.2194 -0.1185 -0.0787
2.2874 -1.9755 2.1613
6.6294 -9.4056 -3.3449
8.7782 -7.0384 -4.9330
8.4708 -4.7272 0.3997
1.9693 -6.5251 -4.9473
5.3073 -2.9473 1.5899
7.8800 -4.3521 -2.9016
4.1290 -4.1011 -2.9341
2.6866 -4.7222 0.0528
5.8976 -6.3771 -1.0375
0.9345 -3.1491 -2.3886


(6)
TbNd3Y6Sc2 (PBE, optimized geometry); space-group type = C2/m (12); ΔH_f (0 K) = 42 meV per atom; magnetic moment = 0.00 μB per formula unit; uncorrected energy = -69.9 eV/cell
1.0
-4.9052 3.6591 -0.6979
-0.2444 -5.8659 -1.8624
-2.1166 -2.4141 11.2745
Nd Y Tb Sc
3 6 1 2
Cartesian
-3.6331 -2.3105 4.3571
-2.0808 -5.4828 3.9693
-5.1854 0.8619 4.7450
-4.6909 -5.0883 6.4330
-4.3464 -2.2266 0.8164
-2.5753 0.4674 2.2812
-6.2563 -1.8892 6.8241
-2.9198 -2.3943 7.8978
-1.0099 -2.7317 1.8901
0.0000 0.0000 0.0000
-1.7974 -2.6921 -1.4744
-3.3522 0.4853 -1.0859


(7)
TbNdYSc (PBE, optimized geometry); space-group type = Cm (8); ΔH_f (0 K) = 110 meV per atom; ΔE to the lowest computed polymorph = 0.000 eV/atom; magnetic moment = 0.00 μB per formula unit; uncorrected energy = -21.8 eV/cell
1.0
-3.0987 2.1510 -0.4887
-1.6177 -1.1280 5.2926
2.1799 6.2805 -1.0088
Nd Tb Y Sc
1 1 1 1
Cartesian
-0.8790 6.1370 1.0393
-0.3996 4.0778 3.7607
-0.9291 2.4809 0.2448
-3.2641 3.0503 2.6662


(8)
TbNd4Y2Sc (PBE, optimized geometry); space-group type = Pmmm (47); ΔH_f (0 K) = 28 meV per atom; magnetic moment = 0.00 μB per formula unit; uncorrected energy = -42.7 eV/cell
1.0
-3.1252 -3.9969 0.6721
3.4240 -3.0537 -2.2384
7.6200 -4.8439 6.6266
Nd Y Tb Sc
4 2 1 1
Cartesian
4.9871 -6.3863 4.6975
8.2624 -5.9152 3.2429
-0.3436 -5.9793 1.8174
2.9317 -5.5081 0.3628
7.6200 -4.8439 6.6266
2.2474 -4.4204 3.6494
7.7694 -8.3692 5.8435
5.5220 -3.9488 2.1942


(9)
Tb2NdYSc (PBE, optimized geometry); space-group type = Cmcm (63); ΔH_f (0 K) = 349 meV per atom; magnetic moment = 0.00 μB per formula unit; uncorrected energy = -50.2 eV/cell
1.0
-3.7967 -0.1835 5.1300
3.1968 -5.0805 2.1842
3.4154 7.3646 2.7912
Tb Nd Sc Y
4 2 2 2
Cartesian
2.4038 -3.8201 1.6423
-1.1053 -1.3521 3.1068
0.5054 -3.9119 4.2073
0.7931 -1.2604 0.5419
2.2707 -1.0259 3.6305
0.5448 3.1265 6.4749
4.1249 0.7582 5.0666
-1.3094 1.3424 5.0388
1.2734 -0.2507 6.8933
1.5421 2.3513 3.2121


(10)
Tb4Nd2YSc (PBE, optimized geometry); space-group type = P4/mmm (123); ΔH_f (0 K) = 33 meV per atom; magnetic moment = 0.00 μB per formula unit; uncorrected energy = -40.6 eV/cell
1.0
5.0395 0.0000 0.0000
0.0000 4.9455 0.9610
0.0001 3.0378 10.7962
Nd Tb Y Sc
2 4 1 1
Cartesian
2.5198 1.5189 5.3981
0.0001 3.0378 10.7962
0.0001 6.0003 8.7610
2.5198 3.5254 8.2866
5.0395 1.9830 2.9962
2.5198 4.4579 3.4706
2.5197 2.4728 0.4805
0.0001 3.9916 5.8786


(11)
Tb2NdY6Sc3 (PBE, optimized geometry); space-group type = C2/m (12); ΔH_f (0 K) = 51 meV per atom; magnetic moment = 0.00 μB per formula unit; uncorrected energy = -71.2 eV/cell
1.0
6.0895 0.0001 0.0104
-3.0432 5.2746 0.0104
-1.0340 -1.7904 11.3603
Nd Sc Y Tb
1 3 6 2
Cartesian
0.0000 0.0000 0.0000
1.0062 1.7421 5.6906
4.0469 -0.0140 5.6906
-2.0346 3.4983 5.6906
3.0324 1.7324 8.4192
-0.0150 3.4924 8.4192
-1.0201 1.7519 2.9619
2.0249 3.5062 2.9745
2.0273 -0.0081 2.9619
-0.0126 -0.0219 8.4066
3.0444 1.7588 0.0104
0.0019 3.5159 0.0104


(12)
TbNd6YSc2 (PBE, optimized geometry); space-group type = C2/c (15); ΔH_f (0 K) = 122 meV per atom; magnetic moment = 0.00 μB per formula unit; uncorrected energy = -102.3 eV/cell
1.0
-4.7341 8.1114 -1.9418
-7.2222 -5.0697 -0.3386
2.7808 2.7451 7.9188
Nd Sc Y Tb
12 4 2 2
Cartesian
-7.8063 0.9157 -0.4499
-4.9294 7.0173 2.1711
-4.2913 7.0995 6.0888
1.0729 1.9477 5.8968
-4.2460 -1.2305 3.4673
-4.8841 -1.3127 -0.4504
-7.4059 -1.2388 2.5346
-1.3691 4.8710 6.0884
-4.6089 1.3627 1.4527
-4.5665 4.4241 4.1858
-1.7695 7.0256 3.1038
-10.2483 3.8391 -0.2583
-5.9868 1.5291 4.4178
-1.8211 -0.5789 1.3664
-3.1886 4.2577 1.2206
-7.3543 6.3656 4.2720
-8.1269 -2.8241 -0.5939
-1.0485 8.6108 6.2323
-2.4894 1.5802 4.0599
-6.6861 4.2065 1.5786


Which formula does entry 8 have? TbNd4Y2Sc


What is the ΔH_f (0 K) in the tenth record? 33 meV per atom


The highest uncorrected energy belongs to which entry? number 3


Copy entry 10 word for word.
Tb4Nd2YSc (PBE, optimized geometry); space-group type = P4/mmm (123); ΔH_f (0 K) = 33 meV per atom; magnetic moment = 0.00 μB per formula unit; uncorrected energy = -40.6 eV/cell
1.0
5.0395 0.0000 0.0000
0.0000 4.9455 0.9610
0.0001 3.0378 10.7962
Nd Tb Y Sc
2 4 1 1
Cartesian
2.5198 1.5189 5.3981
0.0001 3.0378 10.7962
0.0001 6.0003 8.7610
2.5198 3.5254 8.2866
5.0395 1.9830 2.9962
2.5198 4.4579 3.4706
2.5197 2.4728 0.4805
0.0001 3.9916 5.8786